[1]
Entry from Alexandria via LeMat-Bulk: a crystal of KReTe2 relaxed with PBEsol (SCAN).

The value obtained for the offset from the most stable computed form is 0 meV per atom. As for the crystal system: orthorhombic. The value obtained for the energy relative to the elements, uncorrected is 0.186 eV per atom. As for the density of states at the Fermi level: 3.06 states/eV/cell.

The structure belongs to space group Immm (No. 71); the cell edges are 3.2897, 6.2473 and 11.2859 Å and the angles 90.00°, 90.00° and 90.00°. The inequivalent atoms are K at (0.0000, 0.0000, 0.0000), Re at (0.0000, 0.0000, 0.5000) and Te at (0.0000, 0.5000, 0.1804).

[2]
Entry from Alexandria via LeMat-Bulk: a crystal of SrNi2Se relaxed with PBEsol (SCAN).

As for the crystal system: orthorhombic. The value obtained for the energy relative to the elements, uncorrected is 0.052 eV per atom. As for the density of states at the Fermi level: 3.23 states/eV/cell.

The structure belongs to space group Immm (No. 71); the cell edges are 3.4204, 4.9688 and 8.5040 Å and the angles 90.00°, 90.00° and 90.00°. The inequivalent atoms are Sr at (0.0000, 0.0000, 0.0000), Ni at (0.0000, 0.5000, 0.1988) and Se at (0.0000, 0.0000, 0.5000).

[3]
Entry from Alexandria via LeMat-Bulk: a crystal of HgBrCl2 relaxed with PBEsol (SCAN).

The value obtained for the offset from the most stable computed form is 12 meV per atom. As for the crystal system: tetragonal. The value obtained for the energy relative to the elements, uncorrected is -0.120 eV per atom. As for the density of states at the Fermi level: 13.53 states/eV/cell.

The structure belongs to space group I-42d (No. 122); the cell edges are 7.9742, 7.9742 and 6.3559 Å and the angles 90.00°, 90.00° and 90.00°. The inequivalent atoms are Hg at (0.0000, 0.0000, 0.0000), Br at (0.0000, 0.0000, 0.5000) and Cl at (0.1749, 0.2500, 0.1250).

[4]
Entry from Alexandria via LeMat-Bulk: a crystal of TiZnBiO5 relaxed with PBEsol (SCAN).

The value obtained for the offset from the most stable computed form is 0 meV per atom. As for the crystal system: orthorhombic. The value obtained for the energy relative to the elements, uncorrected is -1.910 eV per atom. As for the density of states at the Fermi level: 17.90 states/eV/cell.

The structure belongs to space group Pbca (No. 61); the cell edges are 5.0853, 15.3786 and 10.6542 Å and the angles 90.00°, 90.00° and 90.00°. The inequivalent atoms are Ti at (0.1030, 0.1126, 0.1546), Zn at (0.0256, 0.5229, 0.8689), Bi at (0.1777, 0.2121, 0.8617), O at (0.0269, 0.1390, 0.6945), O at (0.0660, 0.6911, 0.4634), O at (0.1271, 0.6983, 0.2140), O at (0.1914, 0.5460, 0.2927) and O at (0.2114, 0.5578, 0.0340).

[5]
Entry from Alexandria via LeMat-Bulk: a crystal of YCd2Mo relaxed with PBEsol (SCAN).

As for the crystal system: monoclinic. The calculated formation energy comes out at 0.27 eV per atom. As for the density of states at the Fermi level: 5.97 states/eV/cell.

The structure belongs to space group C2/m (No. 12); the cell edges are 10.5049, 2.9730 and 5.2417 Å and the angles 90.00°, 99.86° and 90.00°. The inequivalent atoms are Y at (0.0000, 0.0000, 0.0000), Cd at (0.2398, 0.0000, 0.7309) and Mo at (0.0000, 0.5000, 0.5000).

[6]
Entry from Alexandria via LeMat-Bulk: a crystal of AcNd3 relaxed with PBEsol (SCAN).

As for the crystal system: tetragonal. The calculated formation energy comes out at 0.02 eV per atom. As for the density of states at the Fermi level: 12.27 states/eV/cell.

The structure belongs to space group I4/mmm (No. 139); the cell edges are 5.2021, 5.2021 and 10.3640 Å and the angles 90.00°, 90.00° and 90.00°. The inequivalent atoms are Ac at (0.0000, 0.0000, 0.0000), Nd at (0.0000, 0.0000, 0.5000) and Nd at (0.0000, 0.5000, 0.2500).

| no. | spin magnetization (μB per formula unit) |
| --- | --- |
| 1 | 1.53 |
| 2 | 0.00 |
| 3 | 1.02 |
| 4 | 0.00 |
| 5 | 0.00 |
| 6 | 0.04 |